No. 1
A plane-wave DFT calculation with PBE was carried out for Ho3MgSn2 after structural relaxation.

The space group is Ibam (No. 72) and the conventional cell measures 6.3455, 16.4427 and 6.2842 Å, with angles of 90.00, 90.00 and 90.00 degrees. The asymmetric unit holds Ho at (0.0000, 0.0000, 0.2500), Ho at (0.2403, 0.3239, 0.0000), Mg at (0.0000, 0.5000, 0.2500) and Sn at (0.2454, 0.1355, 0.0000).

The total moment is 0.00 Bohr magnetons per cell. The calculation puts the formation energy at -0.485 eV/atom. As for the crystal system: orthorhombic. As for the density of states at the Fermi level: 32.15 states/eV per cell. As for the raw total energy: -4.374 eV/atom.


No. 2
A plane-wave DFT calculation with PBE was carried out for Cd2C after structural relaxation.

The space group is Fd-3m (No. 227, origin choice 2) and the conventional cell measures 7.8082, 7.8082 and 7.8082 Å, with angles of 90.00, 90.00 and 90.00 degrees. The asymmetric unit holds Cd at (0.0000, 0.0000, 0.0000) and C at (0.1250, 0.1250, 0.6250).

The total moment is 0.01 Bohr magnetons per cell. The calculation puts the formation energy at 2.064 eV/atom. As for the crystal system: cubic. Its energy above the lowest structure with this stoichiometry is 1.321 eV per atom. As for the density of states at the Fermi level: 13.56 states/eV per cell. As for the raw total energy: -1.620 eV/atom.


No. 3
A plane-wave DFT calculation with PBE was carried out for CrAsSCl2 after structural relaxation.

The space group is P4/mmm (No. 123) and the conventional cell measures 4.6542, 4.6542 and 4.9666 Å, with angles of 90.00, 90.00 and 90.00 degrees. The asymmetric unit holds Cr at (0.0000, 0.0000, 0.0000), As at (0.5000, 0.5000, 0.5000), S at (0.0000, 0.0000, 0.5000) and Cl at (0.0000, 0.5000, 0.0000).

The total moment is 5.00 Bohr magnetons per cell. As for the crystal system: tetragonal. Its energy above the lowest structure with this stoichiometry is 0.000 eV per atom. As for the formation energy from raw total energies: 4 kJ/mol of formula units. As for the density of states at the Fermi level: 2.74 states/eV per cell. As for the raw total energy: -4.410 eV/atom.


No. 4
A plane-wave DFT calculation with PBE was carried out for HgW after structural relaxation.

The space group is P2_12_12_1 (No. 19) and the conventional cell measures 4.9827, 6.0222 and 10.0113 Å, with angles of 90.00, 90.00 and 90.00 degrees. The asymmetric unit holds Hg at (0.1354, 0.2436, 0.3692), Hg at (0.1406, 0.0305, 0.6354), W at (0.1557, 0.7467, 0.3983) and W at (0.1593, 0.5450, 0.6181).

The total moment is 0.00 Bohr magnetons per cell. The calculation puts the formation energy at 0.820 eV/atom. As for the crystal system: orthorhombic. Its energy above the lowest structure with this stoichiometry is 0.316 eV per atom. As for the density of states at the Fermi level: 6.89 states/eV per cell. As for the raw total energy: -5.807 eV/atom.


No. 5
A plane-wave DFT calculation with PBE was carried out for CuAu2Br after structural relaxation.

The space group is I-4m2 (No. 119) and the conventional cell measures 4.8939, 4.8939 and 6.2808 Å, with angles of 90.00, 90.00 and 90.00 degrees. The asymmetric unit holds Cu at (0.0000, 0.0000, 0.0000), Au at (0.0000, 0.0000, 0.5000), Au at (0.0000, 0.5000, 0.2500) and Br at (0.0000, 0.5000, 0.7500).

The total moment is 0.00 Bohr magnetons per cell. As for the crystal system: tetragonal. Its energy above the lowest structure with this stoichiometry is 0.333 eV per atom. As for the formation energy from raw total energies: 150 kJ/mol of formula units. As for the density of states at the Fermi level: 1.18 states/eV per cell. As for the raw total energy: -2.691 eV/atom.


No. 6
A plane-wave DFT calculation with PBE was carried out for Sr4InRe after structural relaxation.

The space group is F-43m (No. 216) and the conventional cell measures 9.4530, 9.4530 and 9.4530 Å, with angles of 90.00, 90.00 and 90.00 degrees. The asymmetric unit holds Sr at (0.1240, 0.1240, 0.3760), In at (0.0000, 0.0000, 0.0000) and Re at (0.2500, 0.2500, 0.7500).

The total moment is 8.19 Bohr magnetons per cell. The calculation puts the formation energy at 1.166 eV/atom. As for the crystal system: cubic. As for the density of states at the Fermi level: 26.62 states/eV per cell. As for the raw total energy: -2.487 eV/atom.